CdReBO6 | PBE | optimized geometry

The space group is P3. The value obtained for the uncorrected formation energy is -1.671 eV/atom. The total energy is -7.20 eV per atom.

a = 4.9509 Å, b = 4.9509 Å, c = 5.0724 Å
α = 90.00°, β = 90.00°, γ = 120.00°
Closest atoms and distances in Å follow each position.
Fractional coordinates of all 9 atoms:
Cd 0.0000 0.0000 0.0000  6 O 2.29-2.36
Re 0.3333 0.6667 0.4974  3 O 1.75
B 0.6667 0.3333 0.2252  3 O 1.39
O 0.0348 0.6919 0.6603  1 Re 1.75
O 0.3081 0.3428 0.6603  1 Re 1.75
O 0.4189 0.0275 0.2170  1 B 1.39
O 0.6086 0.5811 0.2170  1 B 1.39
O 0.6572 0.9652 0.6603  1 Re 1.75
O 0.9725 0.3913 0.2170  1 B 1.39